A geometry-optimized HoTe2MoO8 structure, computed with PBE with a Hubbard U.

Cell lengths 6.4143, 6.4143, 5.8777 Å; angles 90.00, 90.00, 120.00 degrees
Last column: nearest neighbours and their distance in Å.
Positions (direct):
Ho (0.0000, 0.0000, 0.0000)  6 O 2.29
Te (0.3333, 0.6667, 0.3120)  1 O 1.81
Te (0.6667, 0.3333, 0.6880)  1 O 1.81
Mo (0.0000, 0.0000, 0.5000)  6 O 2.01
O (0.1404, 0.2808, 0.2842)  1 Mo 2.01, 1 Te 2.15
O (0.1404, 0.8596, 0.2842)  1 Mo 2.01, 1 Te 2.15
O (0.2808, 0.1404, 0.7158)  1 Mo 2.01, 1 Te 2.15
O (0.3333, 0.6667, 0.6196)  1 Te 1.81
O (0.6667, 0.3333, 0.3804)  1 Te 1.81
O (0.7192, 0.8596, 0.2842)  1 Mo 2.01, 1 Te 2.15
O (0.8596, 0.1404, 0.7158)  1 Mo 2.01, 1 Te 2.15
O (0.8596, 0.7192, 0.7158)  1 Mo 2.01, 1 Te 2.15

Properties
- V: 17.5 Å³ per atom
- Spin magnetization: 1.00 μB per formula unit
- Raw total energy: -75.69 eV for the cell shown